Here is ScCd2H2 after structural relaxation from Alexandria via LeMat-Bulk. Energies are from GGA-PBE.

abc: 3.269 3.269 14.369
angles: 90.00 90.00 90.00
Fractional positions:
Sc  0.000  0.000  0.000
Sc  0.500  0.500  0.500
Cd  0.000  0.000  0.349
Cd  0.000  0.000  0.651
Cd  0.500  0.500  0.151
Cd  0.500  0.500  0.849
H  0.000  0.500  0.250
H  0.000  0.500  0.750
H  0.500  0.000  0.250
H  0.500  0.000  0.750

The value obtained for the polymorph energy (0 for the lowest one) is 342.9 meV/atom. The space group is I4/mmm, No. 139.

---

Here is Sc2CdH after structural relaxation from Alexandria via LeMat-Bulk. Energies are from GGA-PBE.

abc: 6.731 6.731 6.731
angles: 90.00 90.00 90.00
Fractional positions:
Sc  0.250  0.250  0.250
Sc  0.250  0.250  0.750
Sc  0.250  0.750  0.250
Sc  0.250  0.750  0.750
Sc  0.750  0.250  0.250
Sc  0.750  0.250  0.750
Sc  0.750  0.750  0.250
Sc  0.750  0.750  0.750
Cd  0.000  0.000  0.000
Cd  0.000  0.500  0.500
Cd  0.500  0.000  0.500
Cd  0.500  0.500  0.000
H  0.000  0.000  0.500
H  0.000  0.500  0.000
H  0.500  0.000  0.000
H  0.500  0.500  0.500

The value obtained for the polymorph energy (0 for the lowest one) is 459.4 meV/atom. The space group is Fm-3m, No. 225.

---

Question: Which of these has the highest polymorph energy (0 for the lowest one)?
Answer: Sc2CdH

---

Question: Which value of polymorph energy (0 for the lowest one) does entry 2 give?
Answer: 459.4 meV/atom